# AlSiF PBE optimized geometry
# - polymorph energy (0 for the lowest one) (meV/atom) = 60
# - V (Å³ per cell) = 106.5
data_AlSiF
_cell_length_a 2.8045
_cell_length_b 4.2754
_cell_length_c 9.5884
_cell_angle_alpha 78.90
_cell_angle_beta 89.45
_cell_angle_gamma 70.98
_space_group_name_H-M_alt 'P -1'
_space_group_IT_number 2
_space_group_name_Hall '-P 1'
loop_
_atom_site_label
_atom_site_type_symbol
_atom_site_fract_x
_atom_site_fract_y
_atom_site_fract_z
Al1 Al 0.2292 0.0585 0.2575
Si1 Si 0.0187 0.4543 0.6250
F1 F 0.3168 0.8409 0.8764


# AlSiF PBE optimized geometry
# - polymorph energy (0 for the lowest one) (meV/atom) = 84
# - V (Å³ per cell) = 99.1
data_AlSiF
_cell_length_a 3.8503
_cell_length_b 3.5443
_cell_length_c 7.3043
_cell_angle_alpha 90.00
_cell_angle_beta 96.21
_cell_angle_gamma 90.00
_space_group_name_H-M_alt 'P 1 m 1'
_space_group_IT_number 6
_space_group_name_Hall 'P -2y'
loop_
_atom_site_label
_atom_site_type_symbol
_atom_site_fract_x
_atom_site_fract_y
_atom_site_fract_z
Al1 Al 0.0000 0.0000 0.0000
Al2 Al 0.0996 0.0000 0.5129
Si1 Si 0.5150 0.5000 0.0720
Si2 Si 0.5623 0.0000 0.2874
F1 F 0.2195 0.5000 0.5712
F2 F 0.9352 0.0000 0.7430


# AlSiF PBE optimized geometry
# - polymorph energy (0 for the lowest one) (meV/atom) = 43
# - V (Å³ per cell) = 182.2
data_AlSiF
_cell_length_a 3.8145
_cell_length_b 4.6630
_cell_length_c 10.2432
_cell_angle_alpha 90.00
_cell_angle_beta 90.00
_cell_angle_gamma 90.00
_space_group_name_H-M_alt 'I m m a'
_space_group_IT_number 74
_space_group_name_Hall '-I 2b 2'
loop_
_atom_site_label
_atom_site_type_symbol
_atom_site_fract_x
_atom_site_fract_y
_atom_site_fract_z
Al1 Al 0.0000 0.2500 0.0768
Si1 Si 0.0000 0.2500 0.8159
F1 F 0.0000 0.2500 0.4296


# AlSiF PBE optimized geometry
# - polymorph energy (0 for the lowest one) (meV/atom) = 0
# - V (Å³ per cell) = 108.8
data_AlSiF
_cell_length_a 4.2787
_cell_length_b 6.2652
_cell_length_c 4.0602
_cell_angle_alpha 90.00
_cell_angle_beta 90.00
_cell_angle_gamma 90.00
_space_group_name_H-M_alt 'P m c 21'
_space_group_IT_number 26
_space_group_name_Hall 'P 2c -2'
loop_
_atom_site_label
_atom_site_type_symbol
_atom_site_fract_x
_atom_site_fract_y
_atom_site_fract_z
Al1 Al 0.0000 0.2053 0.0000
Si1 Si 0.5000 0.3922 0.9523
F1 F 0.0000 0.0968 0.4335


# Zr2AlSiF PBE optimized geometry
# - DFT total energy (eV per atom) = -6.086
# - V (Å³ per cell) = 86.1
data_Zr2AlSiF
_cell_length_a 4.5804
_cell_length_b 4.5804
_cell_length_c 4.1052
_cell_angle_alpha 90.00
_cell_angle_beta 90.00
_cell_angle_gamma 90.00
_space_group_name_H-M_alt 'P 4/m m m'
_space_group_IT_number 123
_space_group_name_Hall '-P 4 2'
loop_
_atom_site_label
_atom_site_type_symbol
_atom_site_fract_x
_atom_site_fract_y
_atom_site_fract_z
Zr1 Zr 0.0000 0.5000 0.0000
Al1 Al 0.0000 0.0000 0.5000
Si1 Si 0.5000 0.5000 0.5000
F1 F 0.0000 0.0000 0.0000


# Sm2AlF8 PBE optimized geometry
# - DFT total energy (eV per atom) = -6.202
# - V (Å³ per cell) = 304.7
data_Sm2AlF8
_cell_length_a 9.4097
_cell_length_b 7.3057
_cell_length_c 4.6930
_cell_angle_alpha 90.00
_cell_angle_beta 109.20
_cell_angle_gamma 90.00
_space_group_name_H-M_alt 'C 1 2/m 1'
_space_group_IT_number 12
_space_group_name_Hall '-C 2y'
loop_
_atom_site_label
_atom_site_type_symbol
_atom_site_fract_x
_atom_site_fract_y
_atom_site_fract_z
Sm1 Sm 0.1709 0.0000 0.3720
Al1 Al 0.0000 0.5000 0.0000
F1 F 0.0904 0.0000 0.8277
F2 F 0.1164 0.5000 0.7715
F3 F 0.1295 0.3254 0.2485


# SmAlF6 PBE optimized geometry
# - DFT total energy (eV per atom) = -6.195
# - V (Å³ per cell) = 196.9
data_SmAlF6
_cell_length_a 5.5009
_cell_length_b 7.5645
_cell_length_c 4.8206
_cell_angle_alpha 90.00
_cell_angle_beta 100.94
_cell_angle_gamma 90.00
_space_group_name_H-M_alt 'C 1 2/m 1'
_space_group_IT_number 12
_space_group_name_Hall '-C 2y'
loop_
_atom_site_label
_atom_site_type_symbol
_atom_site_fract_x
_atom_site_fract_y
_atom_site_fract_z
Sm1 Sm 0.0000 0.0000 0.0000
Al1 Al 0.0000 0.5000 0.5000
F1 F 0.1542 0.3382 0.7595
F2 F 0.2279 0.0000 0.6567


# SmAlF PBE optimized geometry
# - DFT total energy (eV per atom) = -5.163
# - V (Å³ per cell) = 107.8
data_SmAlF
_cell_length_a 3.3787
_cell_length_b 3.3787
_cell_length_c 9.4402
_cell_angle_alpha 90.00
_cell_angle_beta 90.00
_cell_angle_gamma 90.00
_space_group_name_H-M_alt 'P 4/n m m'
_space_group_IT_number 129
loop_
_space_group_symop_operation_xyz
'x,y,z'
'-x,-y,-z'
'-y+1/2,x,z'
'y+1/2,-x,-z'
'-x+1/2,-y+1/2,z'
'x+1/2,y+1/2,-z'
'y,-x+1/2,z'
'-y,x+1/2,-z'
'x+1/2,-y,-z'
'-x+1/2,y,z'
'-y,-x,-z'
'y,x,z'
'-x,y+1/2,-z'
'x,-y+1/2,z'
'y+1/2,x+1/2,-z'
'-y+1/2,-x+1/2,z'
loop_
_atom_site_label
_atom_site_type_symbol
_atom_site_fract_x
_atom_site_fract_y
_atom_site_fract_z
Sm1 Sm 0.2500 0.2500 0.1933
Al1 Al 0.2500 0.2500 0.5767
F1 F 0.2500 0.2500 0.9318